Here is a geometry-optimized LiSc2PdC structure from the Alexandria database. Energies are from PBE.

The structure belongs to space group P4/mmm (No. 123); the cell edges are 4.473, 4.473 and 4.046 Å and the angles 90.00°, 90.00° and 90.00°. The distinct sites, in fractional coordinates, are Li at (0.000, 0.000, 0.000), Sc at (0.000, 0.500, 0.500), Pd at (0.500, 0.500, 0.000) and C at (0.000, 0.000, 0.500).

The spin magnetization is 0.00 μB/f.u. Its density of states at the Fermi level is 2.088 states/eV/cell. The calculation puts the total energy at -6.179 eV/atom. The density comes out at 4.4 Mg/m³. The energy relative to the elements is -0.38 eV per atom.